First-principles (GGA+U) data for an optimized crystal structure of PmPuFeO6, as listed in the Alexandria database.

```
data_PmPuFeO6
_chemical_formula_sum 'Pm2 Pu2 Fe2 O12'
_cell_length_a 5.658
_cell_length_b 5.658
_cell_length_c 8.737
_cell_angle_alpha 90.00
_cell_angle_beta 90.00
_cell_angle_gamma 120.00
_space_group_name_H-M_alt 'P 1'
_space_group_IT_number 1
loop_
_space_group_symop_operation_xyz
'x,y,z'
loop_
_atom_site_label
_atom_site_fract_x
_atom_site_fract_y
_atom_site_fract_z
_atom_site_occupancy
Pm1 0.333 0.667 0.250 1
Pm2 0.667 0.333 0.750 1
Pu1 0.333 0.667 0.750 1
Pu2 0.667 0.333 0.250 1
Fe1 0.000 0.000 0.000 1
Fe2 0.000 0.000 0.500 1
O1 0.039 0.340 0.623 1
O2 0.039 0.699 0.877 1
O3 0.301 0.340 0.877 1
O4 0.301 0.961 0.623 1
O5 0.340 0.039 0.123 1
O6 0.340 0.301 0.377 1
O7 0.660 0.699 0.623 1
O8 0.660 0.961 0.877 1
O9 0.699 0.039 0.377 1
O10 0.699 0.660 0.123 1
O11 0.961 0.301 0.123 1
O12 0.961 0.660 0.377 1
```

Computed properties:
Space-group type: P-31c
VASP energy in eV per cell: -149.752